(1)
GaAg4Sn | PBE | relaxed

Properties
Raw total energy, eV/atom: -2.9422
Energy of formation from the pure elements, eV/atom: 0.130
Magnetization, Bohr magnetons per cell: 0.000
Energy relative to the lowest polymorph listed for this composition, meV/atom: 119

Geometry as CIF:
```
data_GaAg4Sn
_chemical_formula_sum 'Ga4 Ag16 Sn4'
_cell_length_a 7.8719
_cell_length_b 7.8719
_cell_length_c 7.8719
_cell_angle_alpha 90.00
_cell_angle_beta 90.00
_cell_angle_gamma 90.00
_symmetry_space_group_name_H-M 'F -4 3 m'
_symmetry_Int_Tables_number 216
_symmetry_space_group_name_Hall 'F -4 2 3'
loop_
_atom_site_label
_atom_site_type_symbol
_atom_site_fract_x
_atom_site_fract_y
_atom_site_fract_z
_atom_site_occupancy
Ga1 Ga 0.0000 0.0000 0.0000 1
Ag1 Ag 0.1251 0.1251 0.3749 1
Sn1 Sn 0.2500 0.2500 0.7500 1
```


(2)
GaTeBr3 | PBE | relaxed

Properties
Raw total energy, eV/atom: -2.2826
Formation energy from raw total energies, eV/atom: -0.0452
Magnetization, Bohr magnetons per cell: 2.688
Energy relative to the lowest polymorph listed for this composition, meV/atom: 125

Geometry as CIF:
```
data_GaTeBr3
_chemical_formula_sum 'Ga1 Te1 Br3'
_cell_length_a 5.3654
_cell_length_b 5.3654
_cell_length_c 5.3654
_cell_angle_alpha 90.00
_cell_angle_beta 90.00
_cell_angle_gamma 90.00
_symmetry_space_group_name_H-M 'P m -3 m'
_symmetry_Int_Tables_number 221
_symmetry_space_group_name_Hall '-P 4 2 3'
loop_
_atom_site_label
_atom_site_type_symbol
_atom_site_fract_x
_atom_site_fract_y
_atom_site_fract_z
_atom_site_occupancy
Ga1 Ga 0.0000 0.0000 0.0000 1
Te1 Te 0.5000 0.5000 0.5000 1
Br1 Br 0.0000 0.0000 0.5000 1
```


(3)
Sr3YH | PBE | relaxed

Properties
Raw total energy, eV/atom: -2.9481
Magnetization, Bohr magnetons per cell: 0.958

Geometry as CIF:
```
data_Sr3YH
_chemical_formula_sum 'Sr3 Y1 H1'
_cell_length_a 5.5962
_cell_length_b 5.5962
_cell_length_c 5.5962
_cell_angle_alpha 90.00
_cell_angle_beta 90.00
_cell_angle_gamma 90.00
_symmetry_space_group_name_H-M 'P m -3 m'
_symmetry_Int_Tables_number 221
_symmetry_space_group_name_Hall '-P 4 2 3'
loop_
_atom_site_label
_atom_site_type_symbol
_atom_site_fract_x
_atom_site_fract_y
_atom_site_fract_z
_atom_site_occupancy
Sr1 Sr 0.0000 0.0000 0.5000 1
Y1 Y 0.5000 0.5000 0.5000 1
H1 H 0.0000 0.0000 0.0000 1
```


(4)
GaSn2B | PBE | relaxed

Properties
Raw total energy, eV/atom: -4.0015
Energy of formation from the pure elements, eV/atom: 0.426
Magnetization, Bohr magnetons per cell: 0.000
Energy relative to the lowest polymorph listed for this composition, meV/atom: 0

Geometry as CIF:
```
data_GaSn2B
_chemical_formula_sum 'Ga4 Sn8 B4'
_cell_length_a 5.9525
_cell_length_b 5.9525
_cell_length_c 10.7324
_cell_angle_alpha 90.00
_cell_angle_beta 90.00
_cell_angle_gamma 90.00
_symmetry_space_group_name_H-M 'I -4 2 d'
_symmetry_Int_Tables_number 122
_symmetry_space_group_name_Hall 'I -4 2bw'
loop_
_atom_site_label
_atom_site_type_symbol
_atom_site_fract_x
_atom_site_fract_y
_atom_site_fract_z
_atom_site_occupancy
Ga1 Ga 0.0000 0.0000 0.0000 1
Sn1 Sn 0.1863 0.2500 0.6250 1
B1 B 0.0000 0.0000 0.5000 1
```


(5)
CrGa2Co | PBE | relaxed

Properties
Raw total energy, eV/atom: -5.6700
Energy of formation from the pure elements, eV/atom: 0.026
Magnetization, Bohr magnetons per cell: 3.575

Geometry as CIF:
```
data_CrGa2Co
_chemical_formula_sum 'Cr3 Ga6 Co3'
_cell_length_a 2.7284
_cell_length_b 2.7284
_cell_length_c 24.2070
_cell_angle_alpha 90.00
_cell_angle_beta 90.00
_cell_angle_gamma 120.00
_symmetry_space_group_name_H-M 'R 3 m'
_symmetry_Int_Tables_number 160
_symmetry_space_group_name_Hall 'R 3 -2"'
loop_
_atom_site_label
_atom_site_type_symbol
_atom_site_fract_x
_atom_site_fract_y
_atom_site_fract_z
_atom_site_occupancy
Cr1 Cr 0.0000 0.0000 0.0000 1
Ga1 Ga 0.0000 0.0000 0.2471 1
Ga2 Ga 0.0000 0.0000 0.4203 1
Co1 Co 0.0000 0.0000 0.8340 1
```


(6)
ReTc2Pt | PBE | relaxed

Properties
Raw total energy, eV/atom: -9.8447
Energy of formation from the pure elements, eV/atom: -0.039
Magnetization, Bohr magnetons per cell: 0.000
Energy relative to the lowest polymorph listed for this composition, meV/atom: 64

Geometry as CIF:
```
data_ReTc2Pt
_chemical_formula_sum 'Re2 Tc4 Pt2'
_cell_length_a 9.1950
_cell_length_b 2.7563
_cell_length_c 4.7722
_cell_angle_alpha 90.00
_cell_angle_beta 100.42
_cell_angle_gamma 90.00
_symmetry_space_group_name_H-M 'C 1 m 1'
_symmetry_Int_Tables_number 8
_symmetry_space_group_name_Hall 'C -2y'
loop_
_atom_site_label
_atom_site_type_symbol
_atom_site_fract_x
_atom_site_fract_y
_atom_site_fract_z
_atom_site_occupancy
Re1 Re 0.0000 0.0000 0.0000 1
Tc1 Tc 0.0082 0.5000 0.5280 1
Tc2 Tc 0.2530 0.0000 0.7604 1
Pt1 Pt 0.2528 0.5000 0.2612 1
```


(7)
Li2TaTl | PBE | relaxed

Properties
Raw total energy, eV/atom: -4.1255
Energy of formation from the pure elements, eV/atom: 0.386
Magnetization, Bohr magnetons per cell: 0.000

Geometry as CIF:
```
data_Li2TaTl
_chemical_formula_sum 'Li2 Ta1 Tl1'
_cell_length_a 2.8890
_cell_length_b 4.1814
_cell_length_c 6.2479
_cell_angle_alpha 90.00
_cell_angle_beta 90.00
_cell_angle_gamma 90.00
_symmetry_space_group_name_H-M 'P m m 2'
_symmetry_Int_Tables_number 25
_symmetry_space_group_name_Hall 'P 2 -2'
loop_
_atom_site_label
_atom_site_type_symbol
_atom_site_fract_x
_atom_site_fract_y
_atom_site_fract_z
_atom_site_occupancy
Li1 Li 0.0000 0.0000 0.0000 1
Li2 Li 0.5000 0.5000 0.2310 1
Ta1 Ta 0.0000 0.0000 0.4870 1
Tl1 Tl 0.5000 0.5000 0.7512 1
```


(8)
RbAs2Br | PBE | relaxed

Properties
Raw total energy, eV/atom: -2.3815
Formation energy from raw total energies, eV/atom: 0.6034
Magnetization, Bohr magnetons per cell: 0.000
Energy relative to the lowest polymorph listed for this composition, meV/atom: 890

Geometry as CIF:
```
data_RbAs2Br
_chemical_formula_sum 'Rb4 As8 Br4'
_cell_length_a 7.6713
_cell_length_b 7.6713
_cell_length_c 7.6713
_cell_angle_alpha 90.00
_cell_angle_beta 90.00
_cell_angle_gamma 90.00
_symmetry_space_group_name_H-M 'F m -3 m'
_symmetry_Int_Tables_number 225
_symmetry_space_group_name_Hall '-F 4 2 3'
loop_
_atom_site_label
_atom_site_type_symbol
_atom_site_fract_x
_atom_site_fract_y
_atom_site_fract_z
_atom_site_occupancy
Rb1 Rb 0.0000 0.0000 0.0000 1
As1 As 0.2500 0.2500 0.2500 1
Br1 Br 0.0000 0.0000 0.5000 1
```


(9)
Th2BiTe | PBE | relaxed

Properties
Raw total energy, eV/atom: -6.3056
Formation energy from raw total energies, eV/atom: -0.8400
Magnetization, Bohr magnetons per cell: 0.000
Energy relative to the lowest polymorph listed for this composition, meV/atom: 0

Geometry as CIF:
```
data_Th2BiTe
_chemical_formula_sum 'Th8 Bi4 Te4'
_cell_length_a 7.7895
_cell_length_b 7.7895
_cell_length_c 7.7895
_cell_angle_alpha 90.00
_cell_angle_beta 90.00
_cell_angle_gamma 90.00
_symmetry_space_group_name_H-M 'F m -3 m'
_symmetry_Int_Tables_number 225
_symmetry_space_group_name_Hall '-F 4 2 3'
loop_
_atom_site_label
_atom_site_type_symbol
_atom_site_fract_x
_atom_site_fract_y
_atom_site_fract_z
_atom_site_occupancy
Th1 Th 0.2500 0.2500 0.2500 1
Bi1 Bi 0.0000 0.0000 0.0000 1
Te1 Te 0.0000 0.0000 0.5000 1
```


(10)
DyHoTm2 | PBE | relaxed

Properties
Raw total energy, eV/atom: -4.5284
Energy of formation from the pure elements, eV/atom: 0.002
Magnetization, Bohr magnetons per cell: 0.003
Energy relative to the lowest polymorph listed for this composition, meV/atom: 0

Geometry as CIF:
```
data_DyHoTm2
_chemical_formula_sum 'Dy4 Ho4 Tm8'
_cell_length_a 6.1937
_cell_length_b 7.1696
_cell_length_c 11.1205
_cell_angle_alpha 90.00
_cell_angle_beta 90.00
_cell_angle_gamma 90.00
_symmetry_space_group_name_H-M 'P 1 2/c 1'
_symmetry_Int_Tables_number 13
_symmetry_space_group_name_Hall '-P 2yc'
loop_
_atom_site_label
_atom_site_type_symbol
_atom_site_fract_x
_atom_site_fract_y
_atom_site_fract_z
_atom_site_occupancy
Dy1 Dy 0.1675 0.0003 0.3750 1
Ho1 Ho 0.3334 0.2511 0.1243 1
Tm1 Tm 0.1675 0.4998 0.3750 1
Tm2 Tm 0.3323 0.2514 0.6257 1
```


(11)
Ac3As4Rh2 | PBE | relaxed

Properties
Raw total energy, eV/atom: -6.1342
Energy of formation from the pure elements, eV/atom: -1.065
Magnetization, Bohr magnetons per cell: 0.000
Energy relative to the lowest polymorph listed for this composition, meV/atom: 0

Geometry as CIF:
```
data_Ac3As4Rh2
_chemical_formula_sum 'Ac6 As8 Rh4'
_cell_length_a 11.6102
_cell_length_b 4.5160
_cell_length_c 8.5564
_cell_angle_alpha 90.00
_cell_angle_beta 100.12
_cell_angle_gamma 90.00
_symmetry_space_group_name_H-M 'C 1 2/m 1'
_symmetry_Int_Tables_number 12
_symmetry_space_group_name_Hall '-C 2y'
loop_
_atom_site_label
_atom_site_type_symbol
_atom_site_fract_x
_atom_site_fract_y
_atom_site_fract_z
_atom_site_occupancy
Ac1 Ac 0.0000 0.0000 0.0000 1
Ac2 Ac 0.1596 0.5000 0.6617 1
As1 As 0.0718 0.0000 0.3899 1
As2 As 0.2267 0.5000 0.0722 1
Rh1 Rh 0.0992 0.5000 0.2748 1
```


(12)
BaBrO2 | PBE | relaxed

Properties
Raw total energy, eV/atom: -4.8438
Formation energy from raw total energies, eV/atom: -1.4658
Magnetization, Bohr magnetons per cell: 2.002
Energy relative to the lowest polymorph listed for this composition, meV/atom: 0

Geometry as CIF:
```
data_BaBrO2
_chemical_formula_sum 'Ba2 Br2 O4'
_cell_length_a 4.7127
_cell_length_b 6.3838
_cell_length_c 9.0114
_cell_angle_alpha 90.00
_cell_angle_beta 104.78
_cell_angle_gamma 90.00
_symmetry_space_group_name_H-M 'P 1 21/m 1'
_symmetry_Int_Tables_number 11
_symmetry_space_group_name_Hall '-P 2yb'
loop_
_atom_site_label
_atom_site_type_symbol
_atom_site_fract_x
_atom_site_fract_y
_atom_site_fract_z
_atom_site_occupancy
Ba1 Ba 0.1538 0.2500 0.3031 1
Br1 Br 0.2081 0.7500 0.4140 1
O1 O 0.4104 0.6436 0.8287 1
```